(1)
{"formula": "CrInBr4", "functional": "PBE", "state": "optimized geometry", "lattice": [[-4.415, 5.829, -3.804], [-4.454, -3.899, -5.736], [-5.611, -0.973, 5.015]], "species": ["In", "Br", "Br", "Cr", "Br", "Cr", "Br", "Br", "Br", "Br", "Br", "In"], "fractional_positions": [[0.500, 0.000, 0.000], [0.810, 0.811, 0.250], [0.823, 0.172, 0.500], [0.000, 0.000, 0.750], [0.189, 0.190, 0.250], [0.000, 0.000, 0.250], [0.828, 0.177, 0.000], [0.811, 0.810, 0.750], [0.190, 0.189, 0.750], [0.177, 0.828, 0.500], [0.172, 0.823, 0.000], [0.000, 0.500, 0.500]], "e_form_raw_mev_per_atom": -681, "polymorph_energy_mev_per_atom": 0.0, "sg": "Cccm, No. 66"}

=====

(2)
{"formula": "Cr3Rh8", "functional": "PBE", "state": "optimized geometry", "lattice": [[2.703, 0.000, 0.000], [-1.351, 5.508, -1.726], [0.000, -2.269, 10.797]], "species": ["Rh", "Rh", "Rh", "Rh", "Cr", "Cr", "Rh", "Cr", "Rh", "Rh", "Rh"], "fractional_positions": [[0.813, 0.627, 0.724], [0.277, 0.553, 0.910], [0.187, 0.373, 0.276], [0.376, 0.752, 0.544], [0.000, 0.000, 0.000], [0.907, 0.814, 0.361], [0.624, 0.248, 0.456], [0.093, 0.186, 0.639], [0.723, 0.447, 0.090], [0.544, 0.089, 0.817], [0.456, 0.911, 0.183]], "sg": "C2/m, No. 12", "e_form_ev_per_atom": -0.051}

=====

Number 1: total magnetization 0.50 μB/atom, volume 41.3 Å³/atom. Number 2: total magnetization 0.32 μB/atom, volume 13.6 Å³/atom.